No. 1
# MgMo3H

An optimized crystal structure of MgMo3H (PBE, Alexandria via LeMat-Bulk).

a = 4.6101 Å, b = 4.6101 Å, c = 4.6101 Å
α = 90.00°, β = 90.00°, γ = 90.00°
Last column: magnetic moment on the atom in μB.
Atoms (fractional coordinates):
H (0.5000, 0.5000, 0.5000)  -0.01
Mo (0.0000, 0.5000, 0.0000)  0.47
Mo (0.0000, 0.0000, 0.5000)  0.26
Mo (0.5000, 0.0000, 0.0000)  0.44
Mg (0.0000, 0.0000, 0.0000)  0.01

Computed properties:
Crystal system: cubic
Polymorph energy (0 for the lowest one) in meV per atom: 2645.7
Space-group type: Pm-3m (221)
DFT total energy in eV per cell: -22.6



No. 2
# Rb3Sn4Pb2

An optimized crystal structure of Rb3Sn4Pb2 (PBE, Alexandria via LeMat-Bulk).

a = 5.5280 Å, b = 7.4282 Å, c = 10.0038 Å
α = 69.47°, β = 75.61°, γ = 67.73°
Atoms (fractional coordinates):
Rb (0.6136, 0.1345, 0.6494)
Rb (0.0000, 0.0000, 0.0000)
Rb (0.3864, 0.8655, 0.3506)
Sn (0.2864, 0.3650, 0.0431)
Sn (0.9220, 0.5342, 0.6459)
Sn (0.0780, 0.4658, 0.3541)
Sn (0.7136, 0.6350, 0.9569)
Pb (0.6924, 0.3273, 0.2549)
Pb (0.3076, 0.6727, 0.7451)

Computed properties:
Crystal system: triclinic
Polymorph energy (0 for the lowest one) in meV per atom: 36.6
Space-group type: P-1 (2)
DFT total energy in eV per cell: -27.2
Formation enthalpy at 0 K in eV per formula unit: -0.8



No. 3
# Cr2SbRh

An optimized crystal structure of Cr2SbRh (PBE, Alexandria via LeMat-Bulk).

a = 3.9975 Å, b = 3.9975 Å, c = 3.9352 Å
α = 90.00°, β = 90.00°, γ = 90.00°
Last column: magnetic moment on the atom in μB.
Atoms (fractional coordinates):
Cr (0.0000, 0.0000, 0.0000)  2.83
Cr (0.5000, 0.5000, 0.0000)  2.83
Rh (0.5000, 0.0000, 0.5000)  0.13
Sb (0.0000, 0.5000, 0.5000)  -0.11

Computed properties:
Crystal system: tetragonal
Space-group type: P4/mmm (123)
DFT total energy in eV per cell: -30.4
Formation energy (no corrections) in eV/atom: 0.092